{"formula": "TlCoGe3", "functional": "PBE-GGA", "state": "optimized geometry", "cell": [[-3.165, 0.436, 3.412], [-3.395, -1.145, -3.002], [0.556, -4.511, 1.092]], "species": ["Tl", "Co", "Ge", "Ge", "Ge"], "frac_coords": [[0.500, 0.500, 0.500], [0.000, 0.000, 0.000], [0.000, 0.500, 0.000], [0.500, 0.000, 0.000], [0.000, 0.000, 0.500]], "formation_enthalpy_0k_ev_per_atom": 0.175, "total_energy_ev_per_atom": -4.490, "magnetic_moment_mub_per_cell": 0.000}